Here is a relaxed CaYAl crystal from the Alexandria database. Energies are from PBE.

Unit cell a=3.605 b=3.605 c=13.298 alpha=90.00 beta=90.00 gamma=90.00
Space group I4mm (No. 107)
Asymmetric unit:
Ca (0.000, 0.000, 0.000) x2
Y (0.000, 0.000, 0.720) x2
Al (0.000, 0.000, 0.350) x2

Results
Total magnetic moment   0.00 Bohr magnetons per cell
Energy of formation from the pure elements   -18 kJ/mol of atoms
Crystal system   tetragonal
Distance to the lowest polymorph of the same formula   62.7 meV per atom

Here is a relaxed NdYNbN3 crystal from the Alexandria database. Energies are from PBE.

Unit cell a=6.620 b=3.366 c=9.495 alpha=90.00 beta=95.31 gamma=90.00
Space group P2_1/m (No. 11)
Asymmetric unit:
Nd (0.203, 0.250, 0.244) x2
Y (0.335, 0.750, 0.887) x2
Nb (0.137, 0.250, 0.581) x2
N (0.107, 0.250, 0.791) x2
N (0.197, 0.750, 0.463) x2
N (0.403, 0.750, 0.127) x2

Results
Total magnetic moment   0.00 Bohr magnetons per cell
Uncorrected formation energy   -1069 meV per atom
Crystal system   monoclinic

Here is a relaxed La3Dy3YTe8 crystal from the Alexandria database. Energies are from PBE.

Unit cell a=8.8472 b=8.8472 c=22.0245 alpha=90.00 beta=90.00 gamma=120.00
Space group R-3m (No. 166, hexagonal axes)
Asymmetric unit:
La (0.0000, 0.5000, 0.0000) x9
Dy (0.0000, 0.5000, 0.5000) x9
Y (0.0000, 0.0000, 0.5000) x3
Te (0.0000, 0.0000, 0.2447) x6
Te (0.0083, 0.5041, 0.7534) x18

Results
Total magnetic moment   0.00 Bohr magnetons per cell
Uncorrected formation energy   -1477 meV per atom
Crystal system   trigonal

Here is a relaxed GeOsSeBr2 crystal from the Alexandria database. Energies are from PBE.

Unit cell a=5.180 b=5.180 c=5.183 alpha=90.00 beta=90.00 gamma=90.00
Space group P4/mmm (No. 123)
Asymmetric unit:
Ge (0.000, 0.000, 0.000) x1
Os (0.500, 0.500, 0.500) x1
Se (0.000, 0.000, 0.500) x1
Br (0.000, 0.500, 0.000) x2

Results
Total magnetic moment   4.45 Bohr magnetons per cell
Uncorrected formation energy   1277 meV per atom
Crystal system   tetragonal
Distance to the lowest polymorph of the same formula   653.5 meV per atom